No. 1
A plane-wave DFT calculation with PBE was carried out for a relaxed structure of Ti2SbHRu.

Unit cell a=4.113 b=4.113 c=4.021 alpha=90.00 beta=90.00 gamma=90.00
Fractional coordinates of all 5 atoms:
Ti: 0.000 0.500 0.000
Ti: 0.500 0.000 0.000
Sb: 0.000 0.000 0.500
H: 0.500 0.500 0.000
Ru: 0.500 0.500 0.500

## Properties
E (eV per cell): -34.6
Space-group type: P4/mmm (123)

No. 2
A plane-wave DFT calculation with PBE was carried out for a relaxed structure of TiSbHRu2.

Unit cell a=4.007 b=4.007 c=4.191 alpha=90.00 beta=90.00 gamma=90.00
Fractional coordinates of all 5 atoms:
Ti: 0.000 0.000 0.000
Sb: 0.500 0.500 0.000
H: 0.500 0.500 0.500
Ru: 0.000 0.500 0.500
Ru: 0.500 0.000 0.500

## Properties
E (eV per cell): -33.6
Energy above the lowest structure with this stoichiometry (kJ per mole of atoms): 31.3
Space-group type: P4/mmm (123)

No. 3
A plane-wave DFT calculation with PBE was carried out for a relaxed structure of USbHRu.

Unit cell a=4.579 b=4.579 c=3.643 alpha=90.00 beta=90.00 gamma=120.00
Fractional coordinates of all 4 atoms:
U: 0.000 0.000 0.000
Sb: 0.333 0.667 0.500
H: 0.667 0.333 0.998
Ru: 0.667 0.333 0.498

## Properties
E (eV per cell): -29.2
Space-group type: P3m1 (156)